Entry 1:
# PBE NaCuAu2, optimized geometry
# * V: 118.0 Å³/f.u.
# * distance to the lowest polymorph of the same formula: 244 meV per atom
# * DFT formation energy: 0.106 eV/atom
# * D(E_F): 5.8 states/eV per cell
data_NaCuAu2
_symmetry_space_group_name_H-M 'I 41/a m d'
_symmetry_Int_Tables_number 141
_cell_length_a 5.239
_cell_length_b 5.239
_cell_length_c 17.196
_cell_angle_alpha 90.00
_cell_angle_beta 90.00
_cell_angle_gamma 90.00
loop_
_symmetry_equiv_pos_as_xyz
'x,y,z'
'-x,-y,-z'
'-y+1/4,x+3/4,z+1/4'
'y+1/4,-x+3/4,-z+1/4'
'-x+1/2,-y,z+1/2'
'x+1/2,y,-z+1/2'
'y+1/4,-x+1/4,z+3/4'
'-y+1/4,x+1/4,-z+3/4'
'x,-y,-z'
'-x,y,z'
'-y+1/4,-x+1/4,-z+3/4'
'y+1/4,x+1/4,z+3/4'
'-x+1/2,y,-z+1/2'
'x+1/2,-y,z+1/2'
'y+1/4,x+3/4,-z+1/4'
'-y+1/4,-x+3/4,z+1/4'
'x+1/2,y+1/2,z+1/2'
'-x+1/2,-y+1/2,-z+1/2'
'-y+3/4,x+1/4,z+3/4'
'y+3/4,-x+1/4,-z+3/4'
'-x,-y+1/2,z'
'x,y+1/2,-z'
'y+3/4,-x+3/4,z+1/4'
'-y+3/4,x+3/4,-z+1/4'
'x+1/2,-y+1/2,-z+1/2'
'-x+1/2,y+1/2,z+1/2'
'-y+3/4,-x+3/4,-z+1/4'
'y+3/4,x+3/4,z+1/4'
'-x,y+1/2,-z'
'x,-y+1/2,z'
'y+3/4,x+1/4,-z+3/4'
'-y+3/4,-x+1/4,z+3/4'
loop_
_atom_site_label
_atom_site_type_symbol
_atom_site_fract_x
_atom_site_fract_y
_atom_site_fract_z
Na1 Na 0.000 0.250 0.375
Cu1 Cu 0.000 0.250 0.875
Au1 Au 0.000 0.000 0.000



Entry 2:
# PBE K5Tl4Pd2, optimized geometry
# * V: 411.1 Å³/f.u.
# * DFT formation energy: -0.110 eV/atom
# * D(E_F): 6.6 states/eV per cell
data_K5Tl4Pd2
_symmetry_space_group_name_H-M 'P 1 2/m 1'
_symmetry_Int_Tables_number 10
_symmetry_space_group_name_Hall '-P 2y'
_cell_length_a 8.524
_cell_length_b 4.078
_cell_length_c 12.316
_cell_angle_alpha 90.00
_cell_angle_beta 106.24
_cell_angle_gamma 90.00
loop_
_atom_site_label
_atom_site_type_symbol
_atom_site_fract_x
_atom_site_fract_y
_atom_site_fract_z
K1 K 0.000 0.000 0.000
K2 K 0.002 0.000 0.643
K3 K 0.439 0.000 0.827
Tl1 Tl 0.252 0.500 0.235
Tl2 Tl 0.338 0.500 0.553
Pd1 Pd 0.396 0.000 0.389



Entry 3:
# PBE AlTl2PbAu, optimized geometry
# * V: 155.7 Å³/f.u.
# * DFT formation energy: 0.419 eV/atom
# * D(E_F): 1.9 states/eV per cell
data_AlTl2PbAu
_symmetry_space_group_name_H-M 'P 4/m m m'
_symmetry_Int_Tables_number 123
_symmetry_space_group_name_Hall '-P 4 2'
_cell_length_a 5.341
_cell_length_b 5.341
_cell_length_c 5.460
_cell_angle_alpha 90.00
_cell_angle_beta 90.00
_cell_angle_gamma 90.00
loop_
_atom_site_label
_atom_site_type_symbol
_atom_site_fract_x
_atom_site_fract_y
_atom_site_fract_z
Al1 Al 0.000 0.000 0.000
Tl1 Tl 0.000 0.500 0.000
Pb1 Pb 0.000 0.000 0.500
Au1 Au 0.500 0.500 0.500



Entry 4:
# PBE CaNdSmDy, optimized geometry
# * V: 140.0 Å³/f.u.
# * distance to the lowest polymorph of the same formula: 81 meV per atom
# * DFT formation energy: 0.130 eV/atom
# * D(E_F): 27.6 states/eV per cell
data_CaNdSmDy
_symmetry_space_group_name_H-M 'F -4 3 m'
_symmetry_Int_Tables_number 216
_symmetry_space_group_name_Hall 'F -4 2 3'
_cell_length_a 8.243
_cell_length_b 8.243
_cell_length_c 8.243
_cell_angle_alpha 90.00
_cell_angle_beta 90.00
_cell_angle_gamma 90.00
loop_
_atom_site_label
_atom_site_type_symbol
_atom_site_fract_x
_atom_site_fract_y
_atom_site_fract_z
Ca1 Ca 0.000 0.000 0.000
Nd1 Nd 0.250 0.250 0.750
Sm1 Sm 0.250 0.250 0.250
Dy1 Dy 0.000 0.000 0.500



Entry 5:
# PBE Pm6SmY2, optimized geometry
# * V: 303.3 Å³/f.u.
# * distance to the lowest polymorph of the same formula: 0 meV per atom
# * DFT formation energy: 0.057 eV/atom
# * D(E_F): 53.5 states/eV per cell
data_Pm6SmY2
_symmetry_space_group_name_H-M 'C 1 2/c 1'
_symmetry_Int_Tables_number 15
_symmetry_space_group_name_Hall '-C 2yc'
_cell_length_a 21.952
_cell_length_b 9.919
_cell_length_c 5.774
_cell_angle_alpha 90.00
_cell_angle_beta 105.22
_cell_angle_gamma 90.00
loop_
_atom_site_label
_atom_site_type_symbol
_atom_site_fract_x
_atom_site_fract_y
_atom_site_fract_z
Pm1 Pm 0.084 0.082 0.346
Pm2 Pm 0.085 0.417 0.324
Pm3 Pm 0.168 0.250 0.918
Sm1 Sm 0.000 0.251 0.750
Y1 Y 0.250 0.083 0.490



Entry 6:
# PBE La4Ge2C, optimized geometry
# * V: 215.5 Å³/f.u.
# * distance to the lowest polymorph of the same formula: 142 meV per atom
# * DFT formation energy: -0.380 eV/atom
# * D(E_F): 2.0 states/eV per cell
data_La4Ge2C
_symmetry_space_group_name_H-M 'I -4 2 m'
_symmetry_Int_Tables_number 121
_symmetry_space_group_name_Hall 'I -4 2'
_cell_length_a 7.302
_cell_length_b 7.302
_cell_length_c 8.084
_cell_angle_alpha 90.00
_cell_angle_beta 90.00
_cell_angle_gamma 90.00
loop_
_atom_site_label
_atom_site_type_symbol
_atom_site_fract_x
_atom_site_fract_y
_atom_site_fract_z
La1 La 0.231 0.231 0.457
Ge1 Ge 0.000 0.500 0.250
C1 C 0.000 0.000 0.500



Entry 7:
# PBE TmSc2HgC, optimized geometry
# * V: 99.7 Å³/f.u.
# * DFT formation energy: -0.510 eV/atom
# * D(E_F): 6.3 states/eV per cell
data_TmSc2HgC
_symmetry_space_group_name_H-M 'P 4/m m m'
_symmetry_Int_Tables_number 123
_symmetry_space_group_name_Hall '-P 4 2'
_cell_length_a 4.532
_cell_length_b 4.532
_cell_length_c 4.856
_cell_angle_alpha 90.00
_cell_angle_beta 90.00
_cell_angle_gamma 90.00
loop_
_atom_site_label
_atom_site_type_symbol
_atom_site_fract_x
_atom_site_fract_y
_atom_site_fract_z
Tm1 Tm 0.000 0.000 0.000
Sc1 Sc 0.000 0.500 0.500
Hg1 Hg 0.500 0.500 0.000
C1 C 0.000 0.000 0.500



Entry 8:
# PBE TeAs2Pb, optimized geometry
# * formation energy (no corrections): 0.10 eV/atom
# * V: 106.9 Å³/f.u.
# * distance to the lowest polymorph of the same formula: 161 meV per atom
# * D(E_F): 3.8 states/eV per cell
data_TeAs2Pb
_symmetry_space_group_name_H-M 'R -3 m'
_symmetry_Int_Tables_number 166
_symmetry_space_group_name_Hall '-R 3 2"'
_cell_length_a 4.2129
_cell_length_b 4.2129
_cell_length_c 20.8606
_cell_angle_alpha 90.00
_cell_angle_beta 90.00
_cell_angle_gamma 120.00
loop_
_atom_site_label
_atom_site_type_symbol
_atom_site_fract_x
_atom_site_fract_y
_atom_site_fract_z
Te1 Te 0.0000 0.0000 0.0000
As1 As 0.0000 0.0000 0.2553
Pb1 Pb 0.0000 0.0000 0.5000



Entry 9:
# PBE DySc2ZnPd4, optimized geometry
# * V: 145.6 Å³/f.u.
# * DFT formation energy: -0.796 eV/atom
# * D(E_F): 17.5 states/eV per cell
data_DySc2ZnPd4
_symmetry_space_group_name_H-M 'R -3 m'
_symmetry_Int_Tables_number 166
_symmetry_space_group_name_Hall '-R 3 2"'
_cell_length_a 4.6330
_cell_length_b 4.6330
_cell_length_c 23.4934
_cell_angle_alpha 90.00
_cell_angle_beta 90.00
_cell_angle_gamma 120.00
loop_
_atom_site_label
_atom_site_type_symbol
_atom_site_fract_x
_atom_site_fract_y
_atom_site_fract_z
Dy1 Dy 0.0000 0.0000 0.0000
Sc1 Sc 0.0000 0.0000 0.2413
Zn1 Zn 0.0000 0.0000 0.5000
Pd1 Pd 0.0000 0.0000 0.1250
Pd2 Pd 0.0000 0.0000 0.3863



Entry 10:
# PBE NbCI2Br, optimized geometry
# * formation energy (no corrections): 2.08 eV/atom
# * V: 147.8 Å³/f.u.
# * D(E_F): 8.0 states/eV per cell
data_NbCI2Br
_symmetry_space_group_name_H-M 'P 4/m m m'
_symmetry_Int_Tables_number 123
_symmetry_space_group_name_Hall '-P 4 2'
_cell_length_a 6.251
_cell_length_b 6.251
_cell_length_c 3.783
_cell_angle_alpha 90.00
_cell_angle_beta 90.00
_cell_angle_gamma 90.00
loop_
_atom_site_label
_atom_site_type_symbol
_atom_site_fract_x
_atom_site_fract_y
_atom_site_fract_z
Nb1 Nb 0.000 0.000 0.000
C1 C 0.500 0.500 0.000
I1 I 0.000 0.500 0.500
Br1 Br 0.500 0.500 0.500



Entry 11:
# PBE GeRhWBr2, optimized geometry
# * formation energy (no corrections): 1.17 eV/atom
# * V: 124.4 Å³/f.u.
# * D(E_F): 3.4 states/eV per cell
data_GeRhWBr2
_symmetry_space_group_name_H-M 'P 4/m m m'
_symmetry_Int_Tables_number 123
_symmetry_space_group_name_Hall '-P 4 2'
_cell_length_a 5.021
_cell_length_b 5.021
_cell_length_c 4.935
_cell_angle_alpha 90.00
_cell_angle_beta 90.00
_cell_angle_gamma 90.00
loop_
_atom_site_label
_atom_site_type_symbol
_atom_site_fract_x
_atom_site_fract_y
_atom_site_fract_z
Ge1 Ge 0.000 0.000 0.000
Rh1 Rh 0.500 0.500 0.500
W1 W 0.500 0.500 0.000
Br1 Br 0.000 0.500 0.500



Entry 12:
# PBE NiAg3B, optimized geometry
# * V: 78.6 Å³/f.u.
# * distance to the lowest polymorph of the same formula: 0 meV per atom
# * DFT formation energy: 0.685 eV/atom
# * D(E_F): 2.2 states/eV per cell
data_NiAg3B
_symmetry_space_group_name_H-M 'P m -3 m'
_symmetry_Int_Tables_number 221
_symmetry_space_group_name_Hall '-P 4 2 3'
_cell_length_a 4.284
_cell_length_b 4.284
_cell_length_c 4.284
_cell_angle_alpha 90.00
_cell_angle_beta 90.00
_cell_angle_gamma 90.00
loop_
_atom_site_label
_atom_site_type_symbol
_atom_site_fract_x
_atom_site_fract_y
_atom_site_fract_z
Ni1 Ni 0.000 0.000 0.000
Ag1 Ag 0.000 0.500 0.500
B1 B 0.500 0.500 0.500